(A)
Material: La2MoOs
Method: DFT, GGA-PBE
State: optimized geometry

Computed properties:
The total magnetic moment comes out at 0.000 μB/f.u. The space group is Pm, No. 6. As for the density of states at the Fermi level: 5.5 states/eV per cell.

Cell lengths 4.0837, 3.2215, 8.2719 Å; angles 73.66, 90.00, 90.00 degrees
Element x y z (fractional)
La: 0.0000 0.9684 0.9186
La: 0.5000 0.2806 0.3261
Mo: 0.0000 0.4983 0.5731
Os: 0.5000 0.7527 0.6822

=====

(B)
Material: La2MoOs
Method: DFT, GGA-PBE
State: optimized geometry

Computed properties:
The total magnetic moment comes out at 0.001 μB/f.u. The space group is P4mm, No. 99. As for the density of states at the Fermi level: 4.7 states/eV per cell.

Cell lengths 3.2065, 3.2065, 9.4125 Å; angles 90.00, 90.00, 90.00 degrees
Element x y z (fractional)
La: 0.0000 0.0000 0.9318
La: 0.5000 0.5000 0.3127
Mo: 0.0000 0.0000 0.5563
Os: 0.5000 0.5000 0.6991

=====

The most stable arrangement is (B), and the next structure is 0.112 eV/atom less stable.

=====

(A)
Material: La2MoOs
Method: DFT, GGA-PBE
State: optimized geometry

Computed properties:
The total magnetic moment comes out at 1.876 μB/f.u. The space group is I-42d, No. 122. As for the density of states at the Fermi level: 11.9 states/eV per cell.

Cell lengths 7.9679, 7.9679, 6.3961 Å; angles 51.47, 51.47, 90.00 degrees
Each line ends with the local moment (μB).
Element x y z (fractional)
Mo: 0.5000 0.5000 0.0000  1.50
Mo: 0.2500 0.7500 0.5000  1.50
Os: 0.0000 0.0000 0.0000  0.09
Os: 0.7500 0.2500 0.5000  0.09
La: 0.6488 0.1250 0.2500  0.02
La: 0.1012 0.6250 0.2500  0.03
La: 0.3750 0.3512 0.7500  0.02
La: 0.8750 0.8988 0.7500  0.02

=====

(B)
Material: La2MoOs
Method: DFT, GGA-PBE
State: optimized geometry

Computed properties:
The total magnetic moment comes out at 1.668 μB/f.u. The space group is R-3m, No. 166. As for the density of states at the Fermi level: 3.9 states/eV per cell.

Cell lengths 9.3084, 9.3084, 9.3084 Å; angles 21.55, 21.55, 21.55 degrees
Each line ends with the local moment (μB).
Element x y z (fractional)
La: 0.0040 0.0040 0.0040  0.01
La: 0.4960 0.4960 0.4960  0.01
Mo: 0.2500 0.2500 0.2500  1.30
Os: 0.7500 0.7500 0.7500  0.17

=====

(C)
Material: La2MoOs
Method: DFT, GGA-PBE
State: optimized geometry

Computed properties:
The total magnetic moment comes out at 0.000 μB/f.u. The space group is Imm2, No. 44. As for the density of states at the Fermi level: 4.2 states/eV per cell.

Cell lengths 6.3573, 6.3573, 6.3573 Å; angles 146.51, 133.12, 58.83 degrees
Element x y z (fractional)
La: 0.0238 0.0238 0.0000
La: 0.7355 0.2355 0.5000
Mo: 0.4407 0.4407 0.0000
Os: 0.3000 0.8000 0.5000

=====

The most stable arrangement is (C), and the next structure is 0.540 eV/atom less stable.

=====

(A)
Material: La2MoOs
Method: DFT, GGA-PBE
State: optimized geometry

Computed properties:
The total magnetic moment comes out at 0.000 μB/f.u. The space group is Cmmm, No. 65. As for the density of states at the Fermi level: 4.6 states/eV per cell.

Cell lengths 3.2718, 3.2718, 8.8001 Å; angles 90.00, 90.00, 100.17 degrees
Element x y z (fractional)
La: 0.0000 0.0000 0.9762
La: 0.0000 0.0000 0.5238
Mo: 0.5000 0.5000 0.2500
Os: 0.5000 0.5000 0.7500

=====

(B)
Material: La2MoOs
Method: DFT, GGA-PBE
State: optimized geometry

Computed properties:
The total magnetic moment comes out at 1.626 μB/f.u. The space group is Fm-3m, No. 225. As for the density of states at the Fermi level: 5.5 states/eV per cell.

Cell lengths 5.0835, 5.0835, 5.0835 Å; angles 60.00, 60.00, 60.00 degrees
Each line ends with the local moment (μB).
Element x y z (fractional)
Mo: 0.0000 0.0000 0.0000  1.25
Os: 0.5000 0.5000 0.5000  0.13
La: 0.2500 0.2500 0.2500  0.02
La: 0.7500 0.7500 0.7500  0.02

=====

The most stable arrangement is (B), and the next structure is 0.042 eV/atom less stable.

=====

(A)
Material: La2MoOs
Method: DFT, GGA-PBE
State: optimized geometry

Computed properties:
The total magnetic moment comes out at 0.657 μB/f.u. The space group is Immm, No. 71. As for the density of states at the Fermi level: 4.2 states/eV per cell.

Cell lengths 5.7200, 5.7200, 5.7200 Å; angles 145.16, 124.94, 66.83 degrees
Each line ends with the local moment (μB).
Element x y z (fractional)
La: 0.0059 0.0059 0.0000  0.00
La: 0.4941 0.4941 0.0000  0.00
Mo: 0.7500 0.2500 0.5000  0.58
Os: 0.2500 0.7500 0.5000  0.03

=====

(B)
Material: La2MoOs
Method: DFT, GGA-PBE
State: optimized geometry

Computed properties:
The total magnetic moment comes out at 0.000 μB/f.u. The space group is C2/m, No. 12. As for the density of states at the Fermi level: 3.6 states/eV per cell.

Cell lengths 5.6682, 5.6682, 3.1693 Å; angles 76.70, 76.70, 112.59 degrees
Element x y z (fractional)
La: 0.0000 0.0000 0.0000
La: 0.5000 0.5000 0.0000
Mo: 0.5000 0.0000 0.5000
Os: 0.0000 0.5000 0.5000

=====

The most stable arrangement is (B), and the next structure is 0.018 eV/atom less stable.

=====

(A)
Material: La2MoOs
Method: DFT, GGA-PBE
State: optimized geometry

Computed properties:
The total magnetic moment comes out at 0.482 μB/f.u. The space group is R3m, No. 160. As for the density of states at the Fermi level: 4.1 states/eV per cell.

Cell lengths 8.1574, 8.1574, 8.1574 Å; angles 29.91, 29.91, 29.91 degrees
Each line ends with the local moment (μB).
Element x y z (fractional)
La: 0.0347 0.0347 0.0347  0.06
La: 0.2163 0.2163 0.2163  0.07
Mo: 0.4699 0.4699 0.4699  0.00
Os: 0.7791 0.7791 0.7791  0.00

=====

(B)
Material: La2MoOs
Method: DFT, GGA-PBE
State: optimized geometry

Computed properties:
The total magnetic moment comes out at 0.000 μB/f.u. The space group is P4/mmm, No. 123. As for the density of states at the Fermi level: 3.9 states/eV per cell.

Cell lengths 3.2480, 3.2480, 8.8060 Å; angles 90.00, 90.00, 90.00 degrees
Element x y z (fractional)
La: 0.0000 0.0000 0.9735
La: 0.0000 0.0000 0.5265
Mo: 0.5000 0.5000 0.2500
Os: 0.5000 0.5000 0.7500

=====

The most stable arrangement is (A), and the next structure is 0.526 eV/atom less stable.

=====

(A)
Material: La2MoOs
Method: DFT, GGA-PBE
State: optimized geometry

Computed properties:
The total magnetic moment comes out at 1.661 μB/f.u. The space group is P4/mmm, No. 123. As for the density of states at the Fermi level: 4.4 states/eV per cell.

Cell lengths 5.0838, 5.0838, 3.5889 Å; angles 90.00, 90.00, 90.00 degrees
Each line ends with the local moment (μB).
Element x y z (fractional)
La: 0.0000 0.0000 0.0000  0.04
La: 0.5000 0.5000 0.0000  0.04
Mo: 0.5000 0.0000 0.5000  1.30
Os: 0.0000 0.5000 0.5000  0.07

=====

(B)
Material: La2MoOs
Method: DFT, GGA-PBE
State: optimized geometry

Computed properties:
The total magnetic moment comes out at 0.000 μB/f.u. The space group is F-43m, No. 216. As for the density of states at the Fermi level: 4.5 states/eV per cell.

Cell lengths 4.9488, 4.9488, 4.9488 Å; angles 60.00, 60.00, 60.00 degrees
Element x y z (fractional)
La: 0.0000 0.0000 0.0000
La: 0.2500 0.2500 0.2500
Mo: 0.5000 0.5000 0.5000
Os: 0.7500 0.7500 0.7500

=====

The most stable arrangement is (B), and the next structure is 0.041 eV/atom less stable.